(1)
Below is an optimized crystal structure of AlTeAu, with properties calculated at the PBE-GGA level.

```
AlTeAu
1.0
3.962 -3.427 0.000
3.962 3.427 0.000
-3.938 0.000 6.327
Al Te Au
2 2 2
Cartesian
-2.191 0.000 6.327
6.177 0.000 0.000
0.000 0.000 2.093
3.987 0.000 4.234
3.962 1.355 0.000
3.962 -1.355 0.000
```

Total magnetization ... 0.000 μB/f.u.
Offset from the most stable computed form ... 0.085 eV per atom
Energy relative to the elements, uncorrected ... -0.246 eV per atom
VASP energy ... -10.90 eV/f.u.
Space group ... C2/m
D(E_F) ... 0.064 states/eV/atom
Crystal system ... monoclinic



(2)
Below is an optimized crystal structure of AlTe2Au, with properties calculated at the PBE-GGA level.

```
AlTe2Au
1.0
4.485 0.000 0.000
0.000 4.243 0.000
-0.022 0.000 6.605
Al Te Au
1 2 1
Cartesian
0.000 0.000 0.000
2.561 0.000 4.754
4.267 2.122 1.690
1.517 2.122 6.180
```

Total magnetization ... 0.000 μB/f.u.
Energy relative to the elements, uncorrected ... -0.270 eV per atom
VASP energy ... -14.38 eV/f.u.
Space group ... Pm
D(E_F) ... 0.001 states/eV/atom
Crystal system ... monoclinic



(3)
Below is an optimized crystal structure of AlTeAu, with properties calculated at the PBE-GGA level.

```
AlTeAu
1.0
3.957 0.000 0.000
-1.978 3.427 0.000
0.000 0.000 4.980
Al Te Au
1 1 1
Cartesian
0.000 0.000 0.000
0.000 2.284 3.314
1.978 1.142 1.359
```

Total magnetization ... 0.000 μB/f.u.
Offset from the most stable computed form ... 0.120 eV per atom
Energy relative to the elements, uncorrected ... -0.211 eV per atom
VASP energy ... -10.80 eV/f.u.
Space group ... P3m1
D(E_F) ... 0.131 states/eV/atom
Crystal system ... trigonal



(4)
Below is an optimized crystal structure of AlTe2Au, with properties calculated at the PBE-GGA level.

```
AlTe2Au
1.0
-2.865 2.865 6.051
2.865 -2.865 6.051
2.865 2.865 -6.051
Al Te Au
2 4 2
Cartesian
2.865 1.432 1.513
0.000 1.432 4.538
2.865 1.432 -1.334
0.000 1.432 1.691
2.865 1.432 4.360
0.000 1.432 7.386
2.865 -1.432 4.538
0.000 4.297 1.513
```

Total magnetization ... 0.000 μB/f.u.
Energy relative to the elements, uncorrected ... -0.182 eV per atom
VASP energy ... -14.03 eV/f.u.
Space group ... I4_1/amd
D(E_F) ... 0.283 states/eV/atom
Crystal system ... tetragonal



(5)
Below is an optimized crystal structure of AlTe3Au, with properties calculated at the PBE-GGA level.

```
AlTe3Au
1.0
5.292 0.000 0.000
0.000 5.292 0.000
0.000 0.000 5.292
Al Te Au
1 3 1
Cartesian
0.000 0.000 0.000
0.000 0.000 2.646
0.000 2.646 0.000
2.646 0.000 0.000
2.646 2.646 2.646
```

Total magnetization ... 0.000 μB/f.u.
Offset from the most stable computed form ... 0.004 eV per atom
Energy relative to the elements, uncorrected ... 0.520 eV per atom
VASP energy ... -13.84 eV/f.u.
Space group ... Pm-3m
D(E_F) ... 1.086 states/eV/atom
Crystal system ... cubic



(6)
Below is an optimized crystal structure of AlTeAu2, with properties calculated at the PBE-GGA level.

```
AlTeAu2
1.0
2.002 1.156 6.316
-2.002 1.156 6.316
0.000 -2.311 6.316
Al Te Au
1 1 2
Cartesian
0.000 0.000 0.000
0.000 0.000 14.372
0.000 0.000 5.104
0.000 0.000 9.831
```

Total magnetization ... 0.000 μB/f.u.
Offset from the most stable computed form ... 0.047 eV per atom
Energy relative to the elements, uncorrected ... -0.114 eV per atom
VASP energy ... -13.90 eV/f.u.
Space group ... R3m
D(E_F) ... 0.300 states/eV/atom
Crystal system ... trigonal